MgH4Ir3 after structural relaxation, computed with PBE. Values from VASP.

Calculated values
mass density = 12.26 g/cm³
raw total energy = -0.1910 Ha/atom
symmetry = Pm, No. 6
total magnetic moment = 0.00 μB/f.u.

The structure in Quantum ESPRESSO input format:
```
&SYSTEM
  ibrav = 0, nat = 8, ntyp = 3
/
ATOMIC_SPECIES
Mg 24.30 Mg.upf
H 1.01 H.upf
Ir 192.22 Ir.upf
ATOMIC_POSITIONS crystal
Mg 0.0000 0.0000 0.0000
H 0.3620 0.5000 0.1729
H 0.4731 0.5000 0.9038
H 0.6769 0.0000 0.4649
H 0.8636 0.5000 0.2137
Ir 0.2243 0.5000 0.3646
Ir 0.3768 0.0000 0.7223
Ir 0.8441 0.5000 0.6263
CELL_PARAMETERS angstrom
4.5843 0.0000 0.0000
0.0000 2.7903 0.0000
-2.2645 0.0000 6.4045
```


CoB3Rh after structural relaxation, computed with PBE. Values from VASP.

Calculated values
energy relative to the elements = 78.8 kJ/mol of atoms
mass density = 6.36 g/cm³
raw total energy = -0.2235 Ha/atom
symmetry = Pm-3m, No. 221
total magnetic moment = 0.00 μB/f.u.

The structure in Quantum ESPRESSO input format:
```
&SYSTEM
  ibrav = 0, nat = 5, ntyp = 3
/
ATOMIC_SPECIES
Co 58.93 Co.upf
B 10.81 B.upf
Rh 102.91 Rh.upf
ATOMIC_POSITIONS crystal
Co 0.0000 0.0000 0.0000
B 0.0000 0.0000 0.5000
B 0.0000 0.5000 0.0000
B 0.5000 0.0000 0.0000
Rh 0.5000 0.5000 0.5000
CELL_PARAMETERS angstrom
3.7021 0.0000 0.0000
0.0000 3.7021 0.0000
0.0000 0.0000 3.7021
```


TbPmAl after structural relaxation, computed with PBE. Values from VASP.

Calculated values
energy relative to the elements = -1.8 kJ/mol of atoms
mass density = 5.83 g/cm³
raw total energy = -0.1615 Ha/atom
symmetry = F-43m, No. 216
total magnetic moment = 0.00 μB/f.u.

The structure in Quantum ESPRESSO input format:
```
&SYSTEM
  ibrav = 0, nat = 3, ntyp = 3
/
ATOMIC_SPECIES
Tb 158.93 Tb.upf
Pm 145.00 Pm.upf
Al 26.98 Al.upf
ATOMIC_POSITIONS crystal
Tb 0.0000 0.0000 0.0000
Pm 0.5000 0.5000 0.5000
Al 0.2500 0.2500 0.2500
CELL_PARAMETERS angstrom
0.0000 3.6128 3.6128
3.6128 0.0000 3.6128
3.6128 3.6128 0.0000
```


Nd4Dy3Th after structural relaxation, computed with PBE. Values from VASP.

Calculated values
energy relative to the elements = 16.3 kJ/mol of atoms
mass density = 7.93 g/cm³
raw total energy = -0.1789 Ha/atom
symmetry = C2/m, No. 12
total magnetic moment = 0.00 μB/f.u.

The structure in Quantum ESPRESSO input format:
```
&SYSTEM
  ibrav = 0, nat = 8, ntyp = 3
/
ATOMIC_SPECIES
Nd 144.24 Nd.upf
Dy 162.50 Dy.upf
Th 232.04 Th.upf
ATOMIC_POSITIONS crystal
Nd 0.1214 0.1214 0.3619
Nd 0.2583 0.2583 0.7648
Nd 0.7417 0.7417 0.2352
Nd 0.8786 0.8786 0.6381
Dy 0.0000 0.0000 0.5000
Dy 0.1219 0.1219 0.8832
Dy 0.8781 0.8781 0.1168
Th 0.5000 0.5000 0.0000
CELL_PARAMETERS angstrom
11.8479 -1.7387 0.0000
11.8479 1.7387 0.0000
-1.9645 0.0000 6.5863
```


Li2TbPaS4 after structural relaxation, computed with PBE. Values from VASP.

Calculated values
mass density = 5.40 g/cm³
uncorrected formation energy = -1629 meV per atom
raw total energy = -0.2182 Ha/atom
symmetry = P2/m, No. 10
total magnetic moment = 1.77 μB/f.u.

The structure in Quantum ESPRESSO input format:
```
&SYSTEM
  ibrav = 0, nat = 8, ntyp = 4
/
ATOMIC_SPECIES
Li 6.94 Li.upf
Tb 158.93 Tb.upf
Pa 231.04 Pa.upf
S 32.06 S.upf
ATOMIC_POSITIONS crystal
Li 0.0000 0.0000 0.0000
Li 0.0000 0.5000 0.5000
Tb 0.5000 0.0000 0.5000
Pa 0.5000 0.5000 0.0000
S 0.2406 0.0000 0.7459
S 0.2445 0.5000 0.2446
S 0.7555 0.5000 0.7554
S 0.7594 0.0000 0.2541
CELL_PARAMETERS angstrom
6.6376 0.0000 0.0000
0.0000 3.8616 0.0000
-2.2869 0.0000 6.3835
```


In2CuRu after structural relaxation, computed with PBE. Values from VASP.

Calculated values
energy relative to the elements = 7.1 kJ/mol of atoms
mass density = 9.43 g/cm³
raw total energy = -0.1705 Ha/atom
symmetry = Cm, No. 8
total magnetic moment = 0.00 μB/f.u.

The structure in Quantum ESPRESSO input format:
```
&SYSTEM
  ibrav = 0, nat = 4, ntyp = 3
/
ATOMIC_SPECIES
In 114.82 In.upf
Cu 63.55 Cu.upf
Ru 101.07 Ru.upf
ATOMIC_POSITIONS crystal
In 0.0000 0.0000 0.0000
In 0.2265 0.2265 0.6445
Cu 0.4696 0.4696 0.4731
Ru 0.7430 0.7430 0.1515
CELL_PARAMETERS angstrom
5.0151 -1.6335 0.0000
5.0151 1.6335 0.0000
-1.4945 0.0000 4.2358
```


LiTlHg3 after structural relaxation, computed with PBE. Values from VASP.

Calculated values
energy relative to the elements = -11.9 kJ/mol of atoms
mass density = 10.81 g/cm³
raw total energy = -0.0426 Ha/atom
symmetry = Pnma, No. 62
total magnetic moment = 0.00 μB/f.u.

The structure in Quantum ESPRESSO input format:
```
&SYSTEM
  ibrav = 0, nat = 20, ntyp = 3
/
ATOMIC_SPECIES
Li 6.94 Li.upf
Tl 204.38 Tl.upf
Hg 200.59 Hg.upf
ATOMIC_POSITIONS crystal
Li 0.1240 0.2500 0.1399
Li 0.3760 0.7500 0.6399
Li 0.6240 0.2500 0.3601
Li 0.8760 0.7500 0.8601
Tl 0.1683 0.2500 0.5026
Tl 0.3317 0.7500 0.0026
Tl 0.6683 0.2500 0.9974
Tl 0.8317 0.7500 0.4974
Hg 0.0669 0.2500 0.9118
Hg 0.1042 0.7500 0.7023
Hg 0.1482 0.7500 0.2972
Hg 0.3518 0.2500 0.7972
Hg 0.3958 0.2500 0.2023
Hg 0.4331 0.7500 0.4118
Hg 0.5669 0.2500 0.5882
Hg 0.6042 0.7500 0.7977
Hg 0.6482 0.7500 0.2028
Hg 0.8518 0.2500 0.7028
Hg 0.8958 0.2500 0.2977
Hg 0.9331 0.7500 0.0882
CELL_PARAMETERS angstrom
9.8718 0.0000 0.0000
0.0000 4.2174 0.0000
0.0000 0.0000 12.0004
```


Pm3ScIn after structural relaxation, computed with PBE. Values from VASP.

Calculated values
energy relative to the elements = -12.0 kJ/mol of atoms
mass density = 6.53 g/cm³
raw total energy = -0.1760 Ha/atom
symmetry = C2/c, No. 15
total magnetic moment = 0.00 μB/f.u.

The structure in Quantum ESPRESSO input format:
```
&SYSTEM
  ibrav = 0, nat = 20, ntyp = 3
/
ATOMIC_SPECIES
Pm 145.00 Pm.upf
Sc 44.96 Sc.upf
In 114.82 In.upf
ATOMIC_POSITIONS crystal
Pm 0.0041 0.4054 0.8365
Pm 0.1159 0.7620 0.5466
Pm 0.2380 0.8841 0.9534
Pm 0.3067 0.4992 0.3861
Pm 0.4054 0.0041 0.3365
Pm 0.4992 0.3067 0.8861
Pm 0.5008 0.6933 0.1139
Pm 0.5946 0.9959 0.6635
Pm 0.6933 0.5008 0.6139
Pm 0.7620 0.1159 0.0466
Pm 0.8841 0.2380 0.4534
Pm 0.9959 0.5946 0.1635
Sc 0.0097 0.9903 0.2500
Sc 0.3957 0.6043 0.7500
Sc 0.6043 0.3957 0.2500
Sc 0.9903 0.0097 0.7500
In 0.1983 0.2471 0.0666
In 0.2471 0.1983 0.5666
In 0.7529 0.8017 0.4334
In 0.8017 0.7529 0.9334
CELL_PARAMETERS angstrom
4.3941 -7.3300 0.0000
4.3941 7.3300 0.0000
-3.6143 0.0000 9.3931
```


In2NiOs after structural relaxation, computed with PBE. Values from VASP.

Calculated values
energy relative to the elements = 53.4 kJ/mol of atoms
mass density = 11.79 g/cm³
raw total energy = -0.1863 Ha/atom
symmetry = F-43m, No. 216
total magnetic moment = 0.00 μB/f.u.

The structure in Quantum ESPRESSO input format:
```
&SYSTEM
  ibrav = 0, nat = 4, ntyp = 3
/
ATOMIC_SPECIES
In 114.82 In.upf
Ni 58.69 Ni.upf
Os 190.23 Os.upf
ATOMIC_POSITIONS crystal
In 0.0000 0.0000 0.0000
In 0.2500 0.2500 0.2500
Ni 0.5000 0.5000 0.5000
Os 0.7500 0.7500 0.7500
CELL_PARAMETERS angstrom
0.0000 3.2302 3.2302
3.2302 0.0000 3.2302
3.2302 3.2302 0.0000
```


La3ZnNi2 after structural relaxation, computed with PBE. Values from VASP.

Calculated values
energy relative to the elements = -27.9 kJ/mol of atoms
mass density = 7.12 g/cm³
raw total energy = -0.1798 Ha/atom
symmetry = P2_1/c, No. 14
total magnetic moment = 0.00 μB/f.u.

The structure in Quantum ESPRESSO input format:
```
&SYSTEM
  ibrav = 0, nat = 24, ntyp = 3
/
ATOMIC_SPECIES
La 138.91 La.upf
Zn 65.41 Zn.upf
Ni 58.69 Ni.upf
ATOMIC_POSITIONS crystal
La 0.0834 0.1513 0.4036
La 0.0834 0.3487 0.9036
La 0.2637 0.5368 0.6836
La 0.2637 0.9632 0.1836
La 0.3199 0.0209 0.8118
La 0.3199 0.4791 0.3118
La 0.6801 0.5209 0.6882
La 0.6801 0.9791 0.1882
La 0.7363 0.0368 0.8164
La 0.7363 0.4632 0.3164
La 0.9166 0.6513 0.0964
La 0.9166 0.8487 0.5964
Zn 0.4069 0.6383 0.0496
Zn 0.4069 0.8617 0.5496
Zn 0.5931 0.1383 0.4504
Zn 0.5931 0.3617 0.9504
Ni 0.0975 0.7385 0.9192
Ni 0.0975 0.7615 0.4192
Ni 0.4295 0.2384 0.5985
Ni 0.4295 0.2616 0.0985
Ni 0.5705 0.7384 0.9015
Ni 0.5705 0.7616 0.4015
Ni 0.9025 0.2385 0.5808
Ni 0.9025 0.2615 0.0808
CELL_PARAMETERS angstrom
9.3616 0.0000 0.0000
0.0000 7.1063 0.0000
-4.6069 0.0000 8.4089
```


NdSnTe3Au after structural relaxation, computed with PBE. Values from VASP.

Calculated values
mass density = 7.34 g/cm³
uncorrected formation energy = -685 meV per atom
raw total energy = -0.1567 Ha/atom
symmetry = P2_1/m, No. 11
total magnetic moment = 0.00 μB/f.u.

The structure in Quantum ESPRESSO input format:
```
&SYSTEM
  ibrav = 0, nat = 12, ntyp = 4
/
ATOMIC_SPECIES
Nd 144.24 Nd.upf
Sn 118.71 Sn.upf
Te 127.60 Te.upf
Au 196.97 Au.upf
ATOMIC_POSITIONS crystal
Nd 0.1689 0.2500 0.2737
Nd 0.8311 0.7500 0.7263
Sn 0.3419 0.7500 0.8439
Sn 0.6581 0.2500 0.1561
Te 0.0797 0.2500 0.8590
Te 0.2663 0.7500 0.5101
Te 0.3874 0.7500 0.1500
Te 0.6126 0.2500 0.8500
Te 0.7337 0.2500 0.4899
Te 0.9203 0.7500 0.1410
Au 0.0748 0.2500 0.5835
Au 0.9252 0.7500 0.4165
CELL_PARAMETERS angstrom
8.8328 0.0000 0.0000
0.0000 4.2839 0.0000
-1.3551 0.0000 10.0785
```


Ce7Si2Rh2 after structural relaxation, computed with PBE. Values from VASP.

Calculated values
mass density = 7.44 g/cm³
uncorrected formation energy = -384 meV per atom
raw total energy = -0.2382 Ha/atom
symmetry = Cmmm, No. 65
total magnetic moment = 3.16 μB/f.u.

The structure in Quantum ESPRESSO input format:
```
&SYSTEM
  ibrav = 0, nat = 11, ntyp = 3
/
ATOMIC_SPECIES
Ce 140.12 Ce.upf
Si 28.09 Si.upf
Rh 102.91 Rh.upf
ATOMIC_POSITIONS crystal
Ce 0.0000 0.0000 0.0000
Ce 0.0000 0.5000 0.2894
Ce 0.0000 0.5000 0.7106
Ce 0.5000 0.0000 0.2894
Ce 0.5000 0.0000 0.7106
Ce 0.5000 0.5000 0.2941
Ce 0.5000 0.5000 0.7059
Si 0.1525 0.1525 0.5000
Si 0.8475 0.8475 0.5000
Rh 0.2871 0.7129 0.0000
Rh 0.7129 0.2871 0.0000
CELL_PARAMETERS angstrom
3.9373 -5.3009 0.0000
3.9373 5.3009 0.0000
0.0000 0.0000 6.6467
```


ReAgRh after structural relaxation, computed with PBE. Values from VASP.

Calculated values
energy relative to the elements = 20.4 kJ/mol of atoms
mass density = 14.11 g/cm³
raw total energy = -0.2697 Ha/atom
symmetry = P3m1, No. 156
total magnetic moment = 0.00 μB/f.u.

The structure in Quantum ESPRESSO input format:
```
&SYSTEM
  ibrav = 0, nat = 3, ntyp = 3
/
ATOMIC_SPECIES
Re 186.21 Re.upf
Ag 107.87 Ag.upf
Rh 102.91 Rh.upf
ATOMIC_POSITIONS crystal
Re 0.0000 0.0000 0.0000
Ag 0.3333 0.6667 0.6462
Rh 0.6667 0.3333 0.2960
CELL_PARAMETERS angstrom
2.7738 0.0000 0.0000
-1.3869 2.4022 0.0000
0.0000 0.0000 7.0109
```


Tl2Pd2Pb after structural relaxation, computed with PBE. Values from VASP.

Calculated values
energy relative to the elements = -11.4 kJ/mol of atoms
mass density = 11.76 g/cm³
raw total energy = -0.1427 Ha/atom
symmetry = P2_1/m, No. 11
total magnetic moment = 0.00 μB/f.u.

The structure in Quantum ESPRESSO input format:
```
&SYSTEM
  ibrav = 0, nat = 10, ntyp = 3
/
ATOMIC_SPECIES
Tl 204.38 Tl.upf
Pd 106.42 Pd.upf
Pb 207.20 Pb.upf
ATOMIC_POSITIONS crystal
Tl 0.0988 0.2500 0.3894
Tl 0.1863 0.2500 0.0314
Tl 0.8137 0.7500 0.9686
Tl 0.9012 0.7500 0.6106
Pd 0.2854 0.7500 0.8657
Pd 0.3713 0.7500 0.5484
Pd 0.6287 0.2500 0.4516
Pd 0.7146 0.2500 0.1343
Pb 0.4881 0.2500 0.7429
Pb 0.5119 0.7500 0.2571
CELL_PARAMETERS angstrom
5.7479 0.0000 0.0000
0.0000 4.6698 0.0000
-1.9996 0.0000 8.7236
```


TbNdCBr after structural relaxation, computed with PBE. Values from VASP.

Calculated values
mass density = 7.35 g/cm³
uncorrected formation energy = -915 meV per atom
raw total energy = -0.2201 Ha/atom
symmetry = R3m, No. 160
total magnetic moment = 0.00 μB/f.u.

The structure in Quantum ESPRESSO input format:
```
&SYSTEM
  ibrav = 0, nat = 4, ntyp = 4
/
ATOMIC_SPECIES
Tb 158.93 Tb.upf
Nd 144.24 Nd.upf
C 12.01 C.upf
Br 79.90 Br.upf
ATOMIC_POSITIONS crystal
Tb 0.0000 0.0000 0.0000
Nd 0.2121 0.2121 0.2121
C 0.6111 0.6111 0.6111
Br 0.4348 0.4348 0.4348
CELL_PARAMETERS angstrom
1.8722 1.0809 7.3464
-1.8722 1.0809 7.3464
0.0000 -2.1618 7.3464
```


SrTlOs2 after structural relaxation, computed with PBE. Values from VASP.

Calculated values
energy relative to the elements = 41.4 kJ/mol of atoms
mass density = 12.80 g/cm³
raw total energy = -0.2278 Ha/atom
symmetry = Pm, No. 6
total magnetic moment = 0.00 μB/f.u.

The structure in Quantum ESPRESSO input format:
```
&SYSTEM
  ibrav = 0, nat = 4, ntyp = 3
/
ATOMIC_SPECIES
Sr 87.62 Sr.upf
Tl 204.38 Tl.upf
Os 190.23 Os.upf
ATOMIC_POSITIONS crystal
Sr 0.0000 0.0000 0.0000
Tl 0.5013 0.5000 0.3247
Os 0.0000 0.0000 0.5799
Os 0.5001 0.5000 0.7069
CELL_PARAMETERS angstrom
2.9641 0.0000 0.0000
0.0000 3.6949 0.0000
-0.0111 0.0000 7.9663
```


KAg2Rh after structural relaxation, computed with PBE. Values from VASP.

Calculated values
energy relative to the elements = 31.7 kJ/mol of atoms
mass density = 6.78 g/cm³
raw total energy = -0.1179 Ha/atom
symmetry = P2/m, No. 10
total magnetic moment = 0.44 μB/f.u.

The structure in Quantum ESPRESSO input format:
```
&SYSTEM
  ibrav = 0, nat = 4, ntyp = 3
/
ATOMIC_SPECIES
K 39.10 K.upf
Ag 107.87 Ag.upf
Rh 102.91 Rh.upf
ATOMIC_POSITIONS crystal
K 0.0000 0.0000 0.0000
Ag 0.4988 0.5000 0.3158
Ag 0.5012 0.5000 0.6842
Rh 0.0000 0.0000 0.5000
CELL_PARAMETERS angstrom
2.8717 0.0000 0.0000
0.0000 4.0819 0.0000
-0.0159 0.0000 7.4727
```


TiNiSb after structural relaxation, computed with PBE. Values from VASP.

Calculated values
mass density = 7.35 g/cm³
uncorrected formation energy = -128 meV per atom
raw total energy = -0.2227 Ha/atom
symmetry = I4mm, No. 107
total magnetic moment = 0.00 μB/f.u.

The structure in Quantum ESPRESSO input format:
```
&SYSTEM
  ibrav = 0, nat = 3, ntyp = 3
/
ATOMIC_SPECIES
Ti 47.87 Ti.upf
Ni 58.69 Ni.upf
Sb 121.76 Sb.upf
ATOMIC_POSITIONS crystal
Ti 0.0000 0.0000 0.0000
Ni 0.3311 0.3311 0.0000
Sb 0.6606 0.6606 0.0000
CELL_PARAMETERS angstrom
-1.8046 1.8046 3.9579
1.8046 -1.8046 3.9579
1.8046 1.8046 -3.9579
```


K2MgGa2 after structural relaxation, computed with PBE. Values from VASP.

Calculated values
energy relative to the elements = 6.1 kJ/mol of atoms
mass density = 2.50 g/cm³
raw total energy = -0.0700 Ha/atom
symmetry = P4/mbm, No. 127
total magnetic moment = 0.00 μB/f.u.

The structure in Quantum ESPRESSO input format:
```
&SYSTEM
  ibrav = 0, nat = 10, ntyp = 3
/
ATOMIC_SPECIES
K 39.10 K.upf
Mg 24.30 Mg.upf
Ga 69.72 Ga.upf
ATOMIC_POSITIONS crystal
K 0.1822 0.3178 0.0000
K 0.3178 0.8178 0.0000
K 0.6822 0.1822 0.0000
K 0.8178 0.6822 0.0000
Mg 0.0000 0.0000 0.5000
Mg 0.5000 0.5000 0.5000
Ga 0.1210 0.6210 0.5000
Ga 0.3790 0.1210 0.5000
Ga 0.6210 0.8790 0.5000
Ga 0.8790 0.3790 0.5000
CELL_PARAMETERS angstrom
7.4398 0.0000 0.0000
0.0000 7.4398 0.0000
0.0000 0.0000 5.7955
```


BeTl2VZn after structural relaxation, computed with PBE. Values from VASP.

Calculated values
energy relative to the elements = 113.9 kJ/mol of atoms
mass density = 7.78 g/cm³
raw total energy = -0.0952 Ha/atom
symmetry = P4/mmm, No. 123
total magnetic moment = 0.16 μB/f.u.

The structure in Quantum ESPRESSO input format:
```
&SYSTEM
  ibrav = 0, nat = 5, ntyp = 4
/
ATOMIC_SPECIES
Be 9.01 Be.upf
Tl 204.38 Tl.upf
V 50.94 V.upf
Zn 65.41 Zn.upf
ATOMIC_POSITIONS crystal
Be 0.0000 0.0000 0.0000
Tl 0.0000 0.5000 0.5000
Tl 0.5000 0.0000 0.5000
V 0.5000 0.5000 0.0000
Zn 0.0000 0.0000 0.5000
CELL_PARAMETERS angstrom
5.2379 0.0000 0.0000
0.0000 5.2379 0.0000
0.0000 0.0000 4.1546
```